1.
# Tl2In5Hg5 | the Alexandria database | PBE | relaxed
# total magnetization	0.0	μB per formula unit
# space group	C2/m, No. 12
# formation energy from the elements	3	meV/atom
# V	27.67	A^3/atom
data_Tl2In5Hg5
_cell_length_a 8.478
_cell_length_b 8.478
_cell_length_c 10.277
_cell_angle_alpha 54.94
_cell_angle_beta 54.94
_cell_angle_gamma 34.23
_space_group_name_H-M_alt 'P 1'
_space_group_IT_number 1
_space_group_name_Hall 'P 1'
loop_
_atom_site_label
_atom_site_fract_x
_atom_site_fract_y
_atom_site_fract_z
In1 0.000 0.000 0.000
In2 0.253 0.253 0.753
Hg1 0.658 0.658 0.989
In3 0.169 0.169 0.514
In4 0.747 0.747 0.247
Hg2 0.342 0.342 0.011
Hg3 0.500 0.500 0.500
Tl1 0.908 0.908 0.758
Tl2 0.092 0.092 0.242
Hg4 0.585 0.585 0.744
Hg5 0.415 0.415 0.256
In5 0.831 0.831 0.486

---

2.
# LiSc | the Alexandria database | PBE | relaxed
# total magnetization	0.0	μB per formula unit
# space group	P6_3mc, No. 186
# formation energy from the elements	287	meV/atom
# V	23.01	A^3/atom
# distance to the lowest polymorph of the same formula	0.196	eV/atom
data_LiSc
_cell_length_a 3.077
_cell_length_b 3.077
_cell_length_c 11.224
_cell_angle_alpha 90.00
_cell_angle_beta 90.00
_cell_angle_gamma 120.00
_space_group_name_H-M_alt 'P 1'
_space_group_IT_number 1
_space_group_name_Hall 'P 1'
loop_
_atom_site_label
_atom_site_fract_x
_atom_site_fract_y
_atom_site_fract_z
Li1 0.667 0.333 0.910
Sc1 0.667 0.333 0.172
Li2 0.333 0.667 0.410
Sc2 0.333 0.667 0.672

---

3.
# BeCr3Cd | the Alexandria database | PBE | relaxed
# total magnetization	13.0	μB per formula unit
# space group	Pm-3m, No. 221
# formation energy from the elements	1977	meV/atom
# V	25.54	A^3/atom
# distance to the lowest polymorph of the same formula	1.070	eV/atom
data_BeCr3Cd
_cell_length_a 5.036
_cell_length_b 5.036
_cell_length_c 5.036
_cell_angle_alpha 90.00
_cell_angle_beta 90.00
_cell_angle_gamma 90.00
_space_group_name_H-M_alt 'P 1'
_space_group_IT_number 1
_space_group_name_Hall 'P 1'
loop_
_atom_site_label
_atom_site_fract_x
_atom_site_fract_y
_atom_site_fract_z
Cr1 0.000 0.500 0.000
Be1 0.500 0.500 0.500
Cr2 0.000 0.000 0.500
Cd1 0.000 0.000 0.000
Cr3 0.500 0.000 0.000

---

4.
# SrThS3 | the Alexandria database | PBE | relaxed
# total magnetization	0.0	μB per formula unit
# space group	Pnma, No. 62
# ΔE_f (raw)	-2.0607	eV/atom
# V	25.81	A^3/atom
# distance to the lowest polymorph of the same formula	0.000	eV/atom
data_SrThS3
_cell_length_a 4.216
_cell_length_b 7.656
_cell_length_c 15.994
_cell_angle_alpha 90.00
_cell_angle_beta 90.00
_cell_angle_gamma 90.00
_space_group_name_H-M_alt 'P 1'
_space_group_IT_number 1
_space_group_name_Hall 'P 1'
loop_
_atom_site_label
_atom_site_fract_x
_atom_site_fract_y
_atom_site_fract_z
S1 0.250 0.515 0.094
Th1 0.750 0.740 0.043
S2 0.750 0.985 0.594
Sr1 0.250 0.626 0.290
Th2 0.750 0.240 0.457
Th3 0.250 0.260 0.957
S3 0.750 0.128 0.056
S4 0.750 0.485 0.906
S5 0.250 0.015 0.406
S6 0.750 0.628 0.444
S7 0.750 0.836 0.210
Sr2 0.750 0.374 0.710
Sr3 0.250 0.126 0.210
Sr4 0.750 0.874 0.790
S8 0.750 0.336 0.290
S9 0.250 0.164 0.790
S10 0.250 0.664 0.710
Th4 0.250 0.760 0.543
S11 0.250 0.372 0.556
S12 0.250 0.872 0.944